1.
A relaxed KBe2Pd2 crystal. Source: Alexandria via LeMat-Bulk, functional PBE-GGA.

```
KBe2Pd2
1.0
-1.749 1.749 7.596
1.749 -1.749 7.596
1.749 1.749 -7.596
K Be Pd
1 2 2
Direct
0.000 0.000 0.000
0.250 0.750 0.500
0.750 0.250 0.500
0.345 0.345 0.000
0.655 0.655 0.000
```

Results
- theoretical density (g/cm³) = 4.8
- formation energy (eV per formula unit) = -0.233
- total DFT energy (no corrections) (eV/atom) = -3.8337
- symmetry = I4/mmm
- spin magnetization (μB per atom) = 0.00

2.
A relaxed Rb2UCuS5 crystal. Source: Alexandria via LeMat-Bulk, functional PBE-GGA.

```
Rb2UCuS5
1.0
2.002 -9.882 0.000
2.002 9.882 0.000
0.000 0.000 13.591
Rb U Cu S
4 2 2 10
Direct
0.115 0.885 0.500
0.120 0.880 0.132
0.880 0.120 0.632
0.885 0.115 0.000
0.206 0.794 0.829
0.794 0.206 0.329
0.415 0.585 0.247
0.585 0.415 0.747
0.078 0.922 0.837
0.293 0.707 0.453
0.299 0.701 0.203
0.328 0.672 0.819
0.487 0.513 0.125
0.513 0.487 0.625
0.672 0.328 0.319
0.701 0.299 0.703
0.707 0.293 0.953
0.922 0.078 0.337
```

Results
- theoretical density (g/cm³) = 3.9
- total DFT energy (no corrections) (eV/atom) = -5.1755
- symmetry = Cmc2_1
- ΔE_f (raw) (eV per atom) = -0.96
- spin magnetization (μB per atom) = 0.04

3.
A relaxed Pr2NdSm crystal. Source: Alexandria via LeMat-Bulk, functional PBE-GGA.

```
Pr2NdSm
1.0
-2.606 2.606 5.224
2.606 -2.606 5.224
2.606 2.606 -5.224
Pr Nd Sm
2 1 1
Direct
0.000 0.000 0.000
0.750 0.250 0.500
0.250 0.750 0.500
0.500 0.500 0.000
```

Results
- theoretical density (g/cm³) = 6.7
- formation energy (eV per formula unit) = 0.060
- ΔE to the lowest computed polymorph (kJ/mol of formula units) = 1
- total DFT energy (no corrections) (eV/atom) = -4.7465
- symmetry = I-4m2
- spin magnetization (μB per atom) = 0.00

4.
A relaxed RbMg2SbBr crystal. Source: Alexandria via LeMat-Bulk, functional PBE-GGA.

```
RbMg2SbBr
1.0
5.303 0.000 0.000
0.000 5.303 0.000
0.000 0.000 12.082
Rb Mg Sb Br
1 2 1 1
Direct
0.000 0.000 0.000
0.000 0.500 0.500
0.500 0.000 0.500
0.500 0.500 0.500
0.500 0.500 0.000
```

Results
- theoretical density (g/cm³) = 1.6
- total DFT energy (no corrections) (eV/atom) = -2.3088
- symmetry = P4/mmm
- ΔE_f (raw) (eV per atom) = -0.32
- spin magnetization (μB per atom) = 0.00

5.
A relaxed BaU2S6 crystal. Source: Alexandria via LeMat-Bulk, functional PBE-GGA.

```
BaU2S6
1.0
0.000 6.517 6.517
6.517 0.000 6.517
6.517 6.517 0.000
Ba U S
2 4 12
Direct
0.125 0.125 0.125
0.875 0.875 0.875
0.000 0.500 0.500
0.500 0.000 0.500
0.500 0.500 0.000
0.500 0.500 0.500
0.157 0.157 0.593
0.157 0.593 0.157
0.157 0.593 0.593
0.407 0.407 0.843
0.407 0.843 0.407
0.407 0.843 0.843
0.593 0.157 0.157
0.593 0.157 0.593
0.593 0.593 0.157
0.843 0.407 0.407
0.843 0.407 0.843
0.843 0.843 0.407
```

Results
- theoretical density (g/cm³) = 4.8
- ΔE to the lowest computed polymorph (kJ/mol of formula units) = 79
- total DFT energy (no corrections) (eV/atom) = -6.6918
- symmetry = Fd-3m
- ΔE_f (raw) (eV per atom) = -1.22
- spin magnetization (μB per atom) = 0.22

6.
A relaxed NaMgInSn crystal. Source: Alexandria via LeMat-Bulk, functional PBE-GGA.

```
NaMgInSn
1.0
0.000 3.683 3.683
3.683 0.000 3.683
3.683 3.683 0.000
Na Mg In Sn
1 1 1 1
Direct
0.000 0.000 0.000
0.500 0.500 0.500
0.250 0.250 0.250
0.750 0.750 0.750
```

Results
- theoretical density (g/cm³) = 4.7
- formation energy (eV per formula unit) = -0.533
- total DFT energy (no corrections) (eV/atom) = -2.5469
- symmetry = F-43m
- spin magnetization (μB per atom) = 0.00

7.
A relaxed Al2SiNi4 crystal. Source: Alexandria via LeMat-Bulk, functional PBE-GGA.

```
Al2SiNi4
1.0
5.883 0.000 0.000
0.000 3.798 0.000
-0.331 0.000 7.638
Al Si Ni
4 2 8
Direct
0.186 0.250 0.409
0.218 0.250 0.824
0.782 0.750 0.176
0.814 0.750 0.591
0.258 0.750 0.119
0.742 0.250 0.881
0.028 0.250 0.108
0.228 0.750 0.621
0.476 0.750 0.378
0.485 0.250 0.122
0.515 0.750 0.878
0.524 0.250 0.622
0.772 0.250 0.379
0.972 0.750 0.892
```

Results
- theoretical density (g/cm³) = 6.2
- ΔE to the lowest computed polymorph (kJ/mol of formula units) = 0
- total DFT energy (no corrections) (eV/atom) = -5.6554
- symmetry = P2_1/m
- ΔE_f (raw) (eV per atom) = -0.51
- spin magnetization (μB per atom) = 0.00

8.
A relaxed TbPm12Sc6 crystal. Source: Alexandria via LeMat-Bulk, functional PBE-GGA.

```
TbPm12Sc6
1.0
7.231 4.175 3.390
-7.231 4.175 3.390
0.000 -8.349 3.390
Tb Pm Sc
1 12 6
Direct
0.000 0.000 0.000
0.135 0.279 0.828
0.172 0.865 0.721
0.196 0.478 0.570
0.279 0.828 0.135
0.430 0.804 0.522
0.478 0.570 0.196
0.522 0.430 0.804
0.570 0.196 0.478
0.721 0.172 0.865
0.804 0.522 0.430
0.828 0.135 0.279
0.865 0.721 0.172
0.072 0.463 0.187
0.187 0.072 0.463
0.463 0.187 0.072
0.537 0.813 0.928
0.813 0.928 0.537
0.928 0.537 0.813
```

Results
- theoretical density (g/cm³) = 5.9
- formation energy (eV per formula unit) = 5.140
- ΔE to the lowest computed polymorph (kJ/mol of formula units) = 66
- total DFT energy (no corrections) (eV/atom) = -4.9730
- symmetry = R-3
- spin magnetization (μB per atom) = 0.00

9.
A relaxed TaCrTe2Ir crystal. Source: Alexandria via LeMat-Bulk, functional PBE-GGA.

```
TaCrTe2Ir
1.0
4.830 0.000 0.000
0.000 4.830 0.000
0.000 0.000 4.603
Ta Cr Te Ir
1 1 2 1
Direct
0.000 0.000 0.000
0.000 0.000 0.500
0.000 0.500 0.500
0.500 0.000 0.500
0.500 0.500 0.000
```

Results
- theoretical density (g/cm³) = 10.5
- total DFT energy (no corrections) (eV/atom) = -6.0910
- symmetry = P4/mmm
- ΔE_f (raw) (eV per atom) = 1.23
- spin magnetization (μB per atom) = 0.05

10.
A relaxed Os12W17 crystal. Source: Alexandria via LeMat-Bulk, functional PBE-GGA.

```
Os12W17
1.0
-4.842 4.842 4.842
4.842 -4.842 4.842
4.842 4.842 -4.842
Os W
12 17
Direct
0.000 0.191 0.374
0.000 0.374 0.191
0.183 0.809 0.809
0.191 0.000 0.374
0.191 0.374 0.000
0.374 0.000 0.191
0.374 0.191 0.000
0.626 0.626 0.817
0.626 0.817 0.626
0.809 0.183 0.809
0.809 0.809 0.183
0.817 0.626 0.626
0.000 0.000 0.000
0.000 0.000 0.651
0.000 0.393 0.683
0.000 0.651 0.000
0.000 0.683 0.393
0.291 0.607 0.607
0.317 0.317 0.709
0.317 0.709 0.317
0.349 0.349 0.349
0.393 0.000 0.683
0.393 0.683 0.000
0.607 0.291 0.607
0.607 0.607 0.291
0.651 0.000 0.000
0.683 0.000 0.393
0.683 0.393 0.000
0.709 0.317 0.317
```

Results
- theoretical density (g/cm³) = 19.8
- formation energy (eV per formula unit) = 1.094
- total DFT energy (no corrections) (eV/atom) = -12.2023
- symmetry = I-43m
- spin magnetization (μB per atom) = 0.00

11.
A relaxed Re2TeSe crystal. Source: Alexandria via LeMat-Bulk, functional PBE-GGA.

```
Re2TeSe
1.0
1.548 -2.540 0.000
1.548 2.540 0.000
0.000 0.000 10.163
Re Te Se
2 1 1
Direct
0.000 0.000 0.000
0.500 0.500 0.198
0.500 0.500 0.760
0.000 0.000 0.408
```

Results
- theoretical density (g/cm³) = 12.0
- ΔE to the lowest computed polymorph (kJ/mol of formula units) = 173
- total DFT energy (no corrections) (eV/atom) = -7.2079
- symmetry = Cmm2
- ΔE_f (raw) (eV per atom) = 0.67
- spin magnetization (μB per atom) = 0.00

12.
A relaxed Sr3SmPa3N8 crystal. Source: Alexandria via LeMat-Bulk, functional PBE-GGA.

```
Sr3SmPa3N8
1.0
3.597 2.077 6.020
-3.597 2.077 6.020
0.000 -4.154 6.020
Sr Sm Pa N
3 1 3 8
Direct
0.000 0.500 0.500
0.500 0.000 0.500
0.500 0.500 0.000
0.500 0.500 0.500
0.000 0.000 0.500
0.000 0.500 0.000
0.500 0.000 0.000
0.213 0.735 0.735
0.237 0.237 0.237
0.265 0.265 0.787
0.265 0.787 0.265
0.735 0.213 0.735
0.735 0.735 0.213
0.763 0.763 0.763
0.787 0.265 0.265
```

Results
- theoretical density (g/cm³) = 7.5
- total DFT energy (no corrections) (eV/atom) = -8.2925
- symmetry = R-3m
- ΔE_f (raw) (eV per atom) = -1.30
- spin magnetization (μB per atom) = 0.00

13.
A relaxed PrNdSm2Tl4 crystal. Source: Alexandria via LeMat-Bulk, functional PBE-GGA.

```
PrNdSm2Tl4
1.0
2.751 1.588 8.992
-2.751 1.588 8.992
0.000 -3.176 8.992
Pr Nd Sm Tl
1 1 2 4
Direct
0.000 0.000 0.000
0.500 0.500 0.500
0.250 0.250 0.250
0.750 0.750 0.750
0.125 0.125 0.125
0.375 0.375 0.375
0.625 0.625 0.625
0.875 0.875 0.875
```

Results
- theoretical density (g/cm³) = 9.9
- formation energy (eV per formula unit) = -3.062
- total DFT energy (no corrections) (eV/atom) = -3.9391
- symmetry = R-3m
- spin magnetization (μB per atom) = 0.00

14.
A relaxed TmBe2CoB crystal. Source: Alexandria via LeMat-Bulk, functional PBE-GGA.

```
TmBe2CoB
1.0
-1.751 1.766 4.664
1.751 -1.766 4.664
1.751 1.766 -4.664
Tm Be Co B
1 2 1 1
Direct
0.000 0.000 0.000
0.625 0.625 0.000
0.766 0.266 0.500
0.264 0.764 0.500
0.381 0.381 0.000
```

Results
- theoretical density (g/cm³) = 7.4
- formation energy (eV per formula unit) = -1.286
- total DFT energy (no corrections) (eV/atom) = -5.3986
- symmetry = Imm2
- spin magnetization (μB per atom) = 0.00

15.
A relaxed Pu2GaAu crystal. Source: Alexandria via LeMat-Bulk, functional PBE-GGA.

```
Pu2GaAu
1.0
1.492 0.862 11.234
-1.492 0.862 11.234
0.000 -1.723 11.234
Pu Ga Au
2 1 1
Direct
0.089 0.089 0.089
0.911 0.911 0.911
0.500 0.500 0.500
0.000 0.000 0.000
```

Results
- theoretical density (g/cm³) = 14.5
- formation energy (eV per formula unit) = 0.430
- total DFT energy (no corrections) (eV/atom) = -8.6344
- symmetry = R-3m
- spin magnetization (μB per atom) = 2.54

16.
A relaxed KCo3 crystal. Source: Alexandria via LeMat-Bulk, functional PBE-GGA.

```
KCo3
1.0
7.481 0.000 0.000
-3.740 6.479 0.000
0.000 0.000 3.857
K Co
2 6
Direct
0.333 0.667 0.250
0.667 0.333 0.750
0.106 0.211 0.750
0.106 0.894 0.750
0.211 0.106 0.250
0.789 0.894 0.750
0.894 0.106 0.250
0.894 0.789 0.250
```

Results
- theoretical density (g/cm³) = 3.8
- formation energy (eV per formula unit) = 2.924
- ΔE to the lowest computed polymorph (kJ/mol of formula units) = 30
- total DFT energy (no corrections) (eV/atom) = -4.8728
- symmetry = P6_3/mmc
- spin magnetization (μB per atom) = 1.34

17.
A relaxed Cs2NdInTe4 crystal. Source: Alexandria via LeMat-Bulk, functional PBE-GGA.

```
Cs2NdInTe4
1.0
-4.702 4.702 3.883
4.702 -4.702 3.883
4.702 4.702 -3.883
Cs Nd In Te
2 1 1 4
Direct
0.000 0.500 0.500
0.500 0.000 0.500
0.000 0.000 0.000
0.500 0.500 0.000
0.101 0.101 0.662
0.439 0.439 0.338
0.561 0.899 0.000
0.899 0.561 0.000
```

Results
- theoretical density (g/cm³) = 5.0
- total DFT energy (no corrections) (eV/atom) = -3.7081
- symmetry = I-42m
- ΔE_f (raw) (eV per atom) = -0.99
- spin magnetization (μB per atom) = 0.00

18.
A relaxed Dy6Co2Au crystal. Source: Alexandria via LeMat-Bulk, functional PBE-GGA.

```
Dy6Co2Au
1.0
-4.630 4.793 4.898
4.630 -4.793 4.898
4.630 4.793 -4.898
Dy Co Au
12 4 2
Direct
0.017 0.222 0.795
0.184 0.291 0.475
0.184 0.709 0.894
0.320 0.021 0.701
0.320 0.618 0.299
0.426 0.222 0.205
0.574 0.778 0.795
0.680 0.382 0.701
0.680 0.979 0.299
0.816 0.291 0.106
0.816 0.709 0.525
0.983 0.778 0.205
0.114 0.614 0.500
0.377 0.000 0.377
0.623 0.000 0.623
0.886 0.386 0.500
0.000 0.000 0.000
0.500 0.500 0.000
```

Results
- theoretical density (g/cm³) = 9.9
- formation energy (eV per formula unit) = -2.932
- total DFT energy (no corrections) (eV/atom) = -5.3371
- symmetry = Immm
- spin magnetization (μB per atom) = 0.00

19.
A relaxed CsAl2FePb crystal. Source: Alexandria via LeMat-Bulk, functional PBE-GGA.

```
CsAl2FePb
1.0
4.882 0.000 0.000
0.000 4.882 0.000
0.000 0.000 5.158
Cs Al Fe Pb
1 2 1 1
Direct
0.000 0.000 0.000
0.000 0.500 0.500
0.500 0.000 0.500
0.500 0.500 0.500
0.500 0.500 0.000
```

Results
- theoretical density (g/cm³) = 6.1
- formation energy (eV per formula unit) = 1.089
- total DFT energy (no corrections) (eV/atom) = -3.8842
- symmetry = P4/mmm
- spin magnetization (μB per atom) = 0.14

20.
A relaxed Ag3BI crystal. Source: Alexandria via LeMat-Bulk, functional PBE-GGA.

```
Ag3BI
1.0
5.466 0.000 0.000
0.000 5.466 0.000
0.000 0.000 5.466
Ag B I
3 1 1
Direct
0.000 0.000 0.500
0.000 0.500 0.000
0.500 0.000 0.000
0.500 0.500 0.500
0.000 0.000 0.000
```

Results
- theoretical density (g/cm³) = 4.7
- ΔE to the lowest computed polymorph (kJ/mol of formula units) = 492
- total DFT energy (no corrections) (eV/atom) = -1.6575
- symmetry = Pm-3m
- ΔE_f (raw) (eV per atom) = 1.70
- spin magnetization (μB per atom) = 0.16

21.
A relaxed Dy2TmCd crystal. Source: Alexandria via LeMat-Bulk, functional PBE-GGA.

```
Dy2TmCd
1.0
0.000 3.828 3.828
3.828 0.000 3.828
3.828 3.828 0.000
Dy Tm Cd
2 1 1
Direct
0.250 0.250 0.250
0.750 0.750 0.750
0.000 0.000 0.000
0.500 0.500 0.500
```

Results
- theoretical density (g/cm³) = 9.0
- formation energy (eV per formula unit) = -0.113
- ΔE to the lowest computed polymorph (kJ/mol of formula units) = 43
- total DFT energy (no corrections) (eV/atom) = -3.6760
- symmetry = Fm-3m
- spin magnetization (μB per atom) = 0.00

22.
A relaxed Be2TePt2 crystal. Source: Alexandria via LeMat-Bulk, functional PBE-GGA.

```
Be2TePt2
1.0
7.205 0.000 0.000
0.000 7.205 0.000
0.000 0.000 2.854
Be Te Pt
4 2 4
Direct
0.131 0.369 0.000
0.369 0.869 0.000
0.631 0.131 0.000
0.869 0.631 0.000
0.000 0.000 0.500
0.500 0.500 0.500
0.148 0.648 0.500
0.352 0.148 0.500
0.648 0.852 0.500
0.852 0.352 0.500
```

Results
- theoretical density (g/cm³) = 12.0
- ΔE to the lowest computed polymorph (kJ/mol of formula units) = 19
- total DFT energy (no corrections) (eV/atom) = -4.8193
- symmetry = P4/mbm
- ΔE_f (raw) (eV per atom) = -0.28
- spin magnetization (μB per atom) = 0.00

23.
A relaxed HgRh2Se crystal. Source: Alexandria via LeMat-Bulk, functional PBE-GGA.

```
HgRh2Se
1.0
0.000 3.251 3.251
3.251 0.000 3.251
3.251 3.251 0.000
Hg Rh Se
1 2 1
Direct
0.000 0.000 0.000
0.500 0.500 0.500
0.750 0.750 0.750
0.250 0.250 0.250
```

Results
- theoretical density (g/cm³) = 11.7
- total DFT energy (no corrections) (eV/atom) = -4.1923
- symmetry = F-43m
- ΔE_f (raw) (eV per atom) = 0.43
- spin magnetization (μB per atom) = 0.00